First-principles (PBE+U) data for MnP2HO8 after structural relaxation, as listed in Alexandria.

a = 8.0230 Å, b = 4.5616 Å, c = 12.2619 Å
α = 90.00°, β = 121.55°, γ = 90.00°
Space group P2_1/c (No. 14)
One atom of each set of equivalent atoms:
Mn 0.0000 0.0000 0.0000 (multiplicity 2)
P 0.4076 0.0250 0.2770 (multiplicity 4)
H 0.5000 0.0000 0.5000 (multiplicity 2)
O 0.1022 0.2056 0.4723 (multiplicity 4)
O 0.1898 0.0345 0.1869 (multiplicity 4)
O 0.4816 0.6965 0.2812 (multiplicity 4)
O 0.4841 0.1320 0.4107 (multiplicity 4)

Summary:
- Calculated density: 2.1 g/cm3
- Crystal system: monoclinic
- DFT total energy: -0.240 hartree per atom
- Total magnetic moment: 2.0 μB/f.u.